The following is a GGA-PBE calculation of an optimized crystal structure of VTeCl, from Alexandria via LeMat-Bulk.

a = 3.397 Å, b = 3.397 Å, c = 7.283 Å
α = 90.00°, β = 90.00°, γ = 120.00°
Fractional coordinates of all 3 atoms:
1 V 0.000 0.000 0.000
2 Te 0.333 0.667 0.251
3 Cl 0.667 0.333 0.799

Output
E_tot = -5.280 eV/atom
Offset from the most stable computed form = 0 meV per atom
Magnetization = 0.000 μB/atom


The following is a GGA-PBE calculation of an optimized crystal structure of Ga8Cu3Pd2, from Alexandria via LeMat-Bulk.

a = 7.479 Å, b = 4.094 Å, c = 7.636 Å
α = 90.00°, β = 113.02°, γ = 90.00°
Fractional coordinates of all 13 atoms:
1 Ga 0.110 0.000 0.397
2 Ga 0.127 0.500 0.889
3 Ga 0.359 0.000 0.141
4 Ga 0.378 0.500 0.631
5 Ga 0.622 0.500 0.369
6 Ga 0.641 0.000 0.859
7 Ga 0.873 0.500 0.111
8 Ga 0.890 0.000 0.603
9 Cu 0.269 0.000 0.776
10 Cu 0.500 0.500 0.000
11 Cu 0.731 0.000 0.224
12 Pd 0.238 0.500 0.272
13 Pd 0.762 0.500 0.728

Output
E_tot = -3.837 eV/atom
E_form = -0.23 eV/atom
Magnetization = 0.000 μB/atom


The following is a GGA-PBE calculation of an optimized crystal structure of ScSiMo2, from Alexandria via LeMat-Bulk.

a = 8.514 Å, b = 8.514 Å, c = 8.514 Å
α = 20.71°, β = 20.71°, γ = 20.71°
Fractional coordinates of all 4 atoms:
1 Sc 0.000 0.000 0.000
2 Si 0.500 0.500 0.500
3 Mo 0.240 0.240 0.240
4 Mo 0.760 0.760 0.760

Output
E_tot = -8.205 eV/atom
Magnetization = 0.000 μB/atom


The following is a GGA-PBE calculation of an optimized crystal structure of TcPt3Br, from Alexandria via LeMat-Bulk.

a = 4.846 Å, b = 4.846 Å, c = 4.846 Å
α = 90.00°, β = 90.00°, γ = 90.00°
Fractional coordinates of all 5 atoms:
1 Tc 0.000 0.000 0.000
2 Pt 0.000 0.000 0.500
3 Pt 0.000 0.500 0.000
4 Pt 0.500 0.000 0.000
5 Br 0.500 0.500 0.500

Output
E_tot = -4.749 eV/atom
Offset from the most stable computed form = 0 meV per atom
Magnetization = 0.000 μB/atom


The following is a GGA-PBE calculation of an optimized crystal structure of CaReI2, from Alexandria via LeMat-Bulk.

a = 9.127 Å, b = 9.127 Å, c = 9.127 Å
α = 144.66°, β = 144.66°, γ = 50.85°
Fractional coordinates of all 8 atoms:
1 Ca 0.000 0.000 0.000
2 Ca 0.750 0.250 0.500
3 Re 0.250 0.750 0.500
4 Re 0.500 0.500 0.000
5 I 0.182 0.625 0.057
6 I 0.375 0.432 0.557
7 I 0.568 0.125 0.943
8 I 0.875 0.818 0.443

Output
E_tot = -3.842 eV/atom
Offset from the most stable computed form = 0 meV per atom
Magnetization = 0.251 μB/atom